(1)
Computed, not measured: a relaxed DyYI3 crystal at the PBE-GGA level of DFT.

abc: 10.3489 10.3489 11.5062
angles: 110.33 110.33 22.74
Last column: nearest neighbours and their distance in Å.
Positions (direct):
Dy1 0.0745 0.0745 0.4707  4 I 3.16-3.17, 1 Dy 3.32
Dy2 0.9255 0.9255 0.5293  4 I 3.16-3.17, 1 Dy 3.32
Y1 0.4281 0.4281 0.2620  4 I 3.05-3.06
Y2 0.5719 0.5719 0.7380  4 I 3.05-3.06
I1 0.1343 0.1343 0.9453  2 Y 3.05
I2 0.3094 0.3094 0.3677  1 Y 3.06, 2 Dy 3.17
I3 0.4214 0.4214 0.7368  1 Y 3.05, 2 Dy 3.16
I4 0.5786 0.5786 0.2632  1 Y 3.05, 2 Dy 3.16
I5 0.6906 0.6906 0.6323  1 Y 3.06, 2 Dy 3.17
I6 0.8657 0.8657 0.0547  2 Y 3.05

## Properties
E_form (uncorrected) in eV/f.u.: -5.6
E_tot in eV/cell: -42.612

(2)
Computed, not measured: a relaxed ZnIn2NiI crystal at the PBE-GGA level of DFT.

abc: 5.1630 5.1630 4.8140
angles: 90.00 90.00 90.00
Last column: nearest neighbours and their distance in Å.
Positions (direct):
Zn1 0.0000 0.0000 0.0000  2 Ni 2.41
In1 0.0000 0.5000 0.5000  2 Ni 2.58
In2 0.5000 0.0000 0.5000  2 Ni 2.58
Ni1 0.0000 0.0000 0.5000  2 Zn 2.41, 4 In 2.58
I1 0.5000 0.5000 0.0000  8 In 3.53, 4 Zn 3.65

## Properties
E_form (uncorrected) in eV/f.u.: -0.5
E_tot in eV/cell: -14.583

(3)
Computed, not measured: a relaxed CrPPtS2 crystal at the PBE-GGA level of DFT.

abc: 4.3247 4.3247 4.5681
angles: 90.00 90.00 90.00
Last column: nearest neighbours and their distance in Å.
Positions (direct):
Cr1 0.0000 0.0000 0.0000  4 S 2.16, 2 P 2.28
P1 0.0000 0.0000 0.5000  2 Cr 2.28
Pt1 0.5000 0.5000 0.5000  4 P 3.06, 8 S 3.15
S1 0.0000 0.5000 0.0000  2 Cr 2.16
S2 0.5000 0.0000 0.0000  2 Cr 2.16

## Properties
E_form (uncorrected) in eV/f.u.: 3.0
E_tot in eV/cell: -26.366
Polymorph energy (0 for the lowest one) in eV per atom: 0.000